(1)
A plane-wave DFT calculation with PBE-GGA was carried out for a geometry-optimized LiDy structure.

Results
The calculation puts the total moment at 0.05 μB per formula unit. The space group is Fm-3m (225). Its crystal system is cubic.

POSCAR file:
```
LiDy
1.0
0.000 3.002 3.002
3.002 0.000 3.002
3.002 3.002 0.000
Dy Li
1 1
direct
0.000 0.000 0.000
0.500 0.500 0.500
```


(2)
A plane-wave DFT calculation with PBE-GGA was carried out for a geometry-optimized LiDy structure.

Results
The calculation puts the total moment at 0.07 μB per formula unit. The space group is Pm-3m (221). Its crystal system is cubic.

POSCAR file:
```
LiDy
1.0
-1.315 0.523 3.389
-3.283 -1.240 -1.083
0.990 -3.418 0.911
Dy Li
1 1
direct
0.500 0.500 0.500
0.000 0.000 0.000
```


no.,ΔE to the lowest computed polymorph (meV/atom),ρ (g/cm³)
1,376,5.198
2,0,5.678